This record from Alexandria describes a relaxed FeReBr2 crystal. The functional is PBE.

Geometry as POSCAR:
```
FeReBr2
1.0
4.4671 -0.0009 -0.0012
3.3976 2.9002 -0.0012
1.0415 0.3839 5.2859
Re Br Fe
1 2 1
Cartesian
6.6796 2.4624 3.9626
1.0543 0.3887 5.2625
4.4403 1.6369 2.6650
2.2265 0.8208 1.3209
```

Properties
ΔE_f (raw) (eV/f.u.): 4.24